No. 1
Material: MnZn3Te
Method: DFT, PBE
State: relaxed

```
data_MnZn3Te
_chemical_formula_sum 'Mn1 Zn3 Te1'
_symmetry_space_group_name_H-M 'P m -3 m'
_symmetry_Int_Tables_number 221
_symmetry_space_group_name_Hall '-P 4 2 3'
_cell_length_a 4.853
_cell_length_b 4.853
_cell_length_c 4.853
_cell_angle_alpha 90.00
_cell_angle_beta 90.00
_cell_angle_gamma 90.00
loop_
_atom_site_label
_atom_site_type_symbol
_atom_site_fract_x
_atom_site_fract_y
_atom_site_fract_z
_atom_site_occupancy
Mn1 Mn 0.000 0.000 0.000 1
Zn1 Zn 0.000 0.000 0.500 1
Te1 Te 0.500 0.500 0.500 1
```

Output
The value obtained for the density is 5.50 Mg/m³. The calculation puts the energy relative to the elements, uncorrected at 0.539 eV/atom. For the final energy, the calculation gives -2.687 eV/atom.

No. 2
Material: PmPr3Ga4
Method: DFT, PBE
State: relaxed

```
data_PmPr3Ga4
_chemical_formula_sum 'Pm2 Pr6 Ga8'
_symmetry_space_group_name_H-M 'I m m m'
_symmetry_Int_Tables_number 71
_symmetry_space_group_name_Hall '-I 2 2'
_cell_length_a 3.771
_cell_length_b 6.962
_cell_length_c 17.158
_cell_angle_alpha 90.00
_cell_angle_beta 90.00
_cell_angle_gamma 90.00
loop_
_atom_site_label
_atom_site_type_symbol
_atom_site_fract_x
_atom_site_fract_y
_atom_site_fract_z
_atom_site_occupancy
Pm1 Pm 0.000 0.000 0.000 1
Pr1 Pr 0.000 0.000 0.500 1
Pr2 Pr 0.000 0.500 0.298 1
Ga1 Ga 0.000 0.310 0.129 1
```

Output
The value obtained for the density is 6.24 Mg/m³. The calculation puts the formation energy at -0.42 eV/atom. For the final energy, the calculation gives -4.321 eV/atom.

No. 3
Material: LiZr4Cd
Method: DFT, PBE
State: relaxed

```
data_LiZr4Cd
_chemical_formula_sum 'Li4 Zr16 Cd4'
_symmetry_space_group_name_H-M 'F -4 3 m'
_symmetry_Int_Tables_number 216
_symmetry_space_group_name_Hall 'F -4 2 3'
_cell_length_a 8.243
_cell_length_b 8.243
_cell_length_c 8.243
_cell_angle_alpha 90.00
_cell_angle_beta 90.00
_cell_angle_gamma 90.00
loop_
_atom_site_label
_atom_site_type_symbol
_atom_site_fract_x
_atom_site_fract_y
_atom_site_fract_z
_atom_site_occupancy
Li1 Li 0.000 0.000 0.000 1
Zr1 Zr 0.125 0.125 0.625 1
Cd1 Cd 0.250 0.250 0.250 1
```

Output
The value obtained for the density is 5.74 Mg/m³. The calculation puts the formation energy at 0.35 eV/atom. For the final energy, the calculation gives -5.815 eV/atom.

No. 4
Material: La2PdRh
Method: DFT, PBE
State: relaxed

```
data_La2PdRh
_chemical_formula_sum 'La4 Pd2 Rh2'
_symmetry_space_group_name_H-M 'P 1 21/m 1'
_symmetry_Int_Tables_number 11
_cell_length_a 6.046
_cell_length_b 4.352
_cell_length_c 8.047
_cell_angle_alpha 90.00
_cell_angle_beta 109.87
_cell_angle_gamma 90.00
loop_
_symmetry_equiv_pos_as_xyz
'x,y,z'
'-x,-y,-z'
'-x,y+1/2,-z'
'x,-y+1/2,z'
loop_
_atom_site_label
_atom_site_type_symbol
_atom_site_fract_x
_atom_site_fract_y
_atom_site_fract_z
_atom_site_occupancy
La1 La 0.225 0.250 0.438 1
La2 La 0.230 0.250 0.924 1
Pd1 Pd 0.325 0.750 0.205 1
Rh1 Rh 0.311 0.750 0.706 1
```

Output
The value obtained for the density is 8.13 Mg/m³. The calculation puts the formation energy at -0.81 eV/atom. For the final energy, the calculation gives -6.408 eV/atom.